A relaxed structure of CuBrCl. Source: the Alexandria database, functional PBEsol.

**Fermi-level density of states**: 3.2 states/eV/f.u.

Lattice parameters (Å, degrees): 3.5398 3.5398 5.9053 90.00 90.00 120.00
Space group P3m1 (No. 156)
Symmetry-distinct sites (fractional):
1 Cu 0.0000 0.0000 0.0000
2 Br 0.3333 0.6667 0.7455
3 Cl 0.6667 0.3333 0.2122

***

A relaxed structure of Rb2CuBr2Cl2. Source: the Alexandria database, functional PBEsol.

**Fermi-level density of states**: 1.0 states/eV/f.u.

Lattice parameters (Å, degrees): 16.228 7.094 7.094 90.00 90.00 90.00
Space group Cmce (No. 64)
Symmetry-distinct sites (fractional):
1 Rb 0.134 0.000 0.000
2 Cu 0.000 0.000 0.500
3 Br 0.154 0.000 0.500
4 Cl 0.000 0.225 0.275

***

A relaxed structure of EuBrCl. Source: the Alexandria database, functional PBEsol.

Lattice parameters (Å, degrees): 7.460 4.343 12.514 90.00 90.00 90.00
Space group Pnma (No. 62)
Symmetry-distinct sites (fractional):
1 Eu 0.245 0.250 0.003
2 Br 0.085 0.250 0.372
3 Cl 0.083 0.750 0.111

***

A relaxed structure of PBrCl2F. Source: the Alexandria database, functional PBEsol.

**Fermi-level density of states**: 5.1 states/eV/f.u.

Lattice parameters (Å, degrees): 5.377 5.377 3.560 90.00 90.00 90.00
Space group P4/mmm (No. 123)
Symmetry-distinct sites (fractional):
1 P 0.000 0.000 0.000
2 Br 0.500 0.500 0.000
3 Cl 0.000 0.500 0.500
4 F 0.000 0.000 0.500

***

A relaxed structure of FeBrCl. Source: the Alexandria database, functional PBEsol.

**Fermi-level density of states**: 6.1 states/eV/f.u.

Lattice parameters (Å, degrees): 6.282 6.282 6.282 90.00 90.00 90.00
Space group F-43m (No. 216)
Symmetry-distinct sites (fractional):
1 Fe 0.000 0.000 0.000
2 Br 0.250 0.250 0.750
3 Cl 0.250 0.250 0.250

***

A relaxed structure of FeBr2Cl2. Source: the Alexandria database, functional PBEsol.

**Fermi-level density of states**: 2.5 states/eV/f.u.

Lattice parameters (Å, degrees): 3.441 3.441 20.742 90.00 90.00 90.00
Space group I4/mmm (No. 139)
Symmetry-distinct sites (fractional):
1 Fe 0.000 0.000 0.000
2 Br 0.000 0.000 0.425
3 Cl 0.000 0.500 0.250

***

Respective formation energy without anion corrections values: -0.97, -8.67, -6.44, 1.41, -0.26, 1.03 eV per formula unit.
Respective VASP energy values: -3.06, -3.26, -6.96, -2.44, -4.37, -3.14 eV/atom.
Respective M_tot values: 1.0, 1.0, 7.0, 0.5, 4.0, 4.0 μB/f.u..